Record 1
This record from Alexandria via LeMat-Bulk describes a relaxed KMgTlPb crystal. The functional is PBE.

Computed properties:
**DFT formation energy**: -0.12 eV/atom
**E above lowest polymorph**: 0.000 eV/atom

Cell: 3.724 3.724 8.803 Å, 90.00 90.00 90.00°
Space group P4mm (No. 99)
Symmetry-distinct sites (fractional):
K 0.000 0.000 0.000 (multiplicity 1)
Mg 0.000 0.000 0.497 (multiplicity 1)
Tl 0.500 0.500 0.294 (multiplicity 1)
Pb 0.500 0.500 0.697 (multiplicity 1)



Record 2
This record from Alexandria via LeMat-Bulk describes a relaxed LiTbYSe3 crystal. The functional is PBE.

Computed properties:
**Formation energy without anion corrections**: -1638.1 meV per atom

Cell: 8.386 3.954 8.765 Å, 90.00 102.57 90.00°
Space group P2_1/m (No. 11)
Symmetry-distinct sites (fractional):
Li 0.086 0.250 0.083 (multiplicity 2)
Tb 0.337 0.750 0.334 (multiplicity 2)
Y 0.185 0.250 0.722 (multiplicity 2)
Se 0.090 0.250 0.371 (multiplicity 2)
Se 0.223 0.750 0.992 (multiplicity 2)
Se 0.420 0.750 0.674 (multiplicity 2)